Computed, not measured: crystalline Re3Rh5 at its relaxed geometry at the GGA-PBE level of DFT.

abc: 2.7274 2.7274 15.5743
angles: 90.00 90.00 90.00
With the nearest neighbours (Å) after each atom.
Positions (direct):
Re: 0.0000 0.0000 0.0037  4 Rh 2.68, 8 Re 2.73-2.82
Re: 0.0000 0.0000 0.5002  8 Rh 2.68-2.71, 4 Re 2.73
Re: 0.5000 0.5000 0.8713  4 Rh 2.67, 8 Re 2.73-2.82
Rh: 0.5000 0.5000 0.6196  4 Re 2.68, 8 Rh 2.73-2.84
Rh: 0.0000 0.0000 0.7532  4 Re 2.67, 8 Rh 2.73-2.84
Rh: 0.5000 0.5000 0.3776  4 Re 2.71, 8 Rh 2.73-2.76
Rh: 0.0000 0.0000 0.2508  12 Rh 2.73-2.77
Rh: 0.5000 0.5000 0.1235  4 Re 2.68, 8 Rh 2.73-2.77

* SG: P4mm

***

Computed, not measured: crystalline Re3Rh5 at its relaxed geometry at the GGA-PBE level of DFT.

abc: 2.7108 2.7108 15.6839
angles: 90.00 90.00 90.00
With the nearest neighbours (Å) after each atom.
Positions (direct):
Rh: 0.5000 0.5000 0.3750  4 Rh 2.71, 8 Re 2.74-2.77
Re: 0.0000 0.0000 0.5000  4 Re 2.71, 8 Rh 2.74
Rh: 0.5000 0.5000 0.1271  4 Re 2.69, 8 Rh 2.71-2.77
Rh: 0.0000 0.0000 0.0000  12 Rh 2.71-2.77
Re: 0.0000 0.0000 0.2477  8 Rh 2.69-2.77, 4 Re 2.71
Rh: 0.5000 0.5000 0.8729  4 Re 2.69, 8 Rh 2.71-2.77
Rh: 0.5000 0.5000 0.6250  4 Rh 2.71, 8 Re 2.74-2.77
Re: 0.0000 0.0000 0.7523  8 Rh 2.69-2.77, 4 Re 2.71

* SG: P4/mmm

***

Computed, not measured: crystalline ReRh5 at its relaxed geometry at the GGA-PBE level of DFT.

abc: 4.9885 4.9885 4.3826
angles: 90.00 90.00 120.00
With the nearest neighbours (Å) after each atom.
Positions (direct):
Rh: 0.5000 0.0000 0.5000  8 Rh 2.49-2.62
Rh: 0.6667 0.3333 0.0000  9 Rh 2.62-2.88, 3 Re 2.88
Rh: 0.5000 0.5000 0.5000  8 Rh 2.49-2.62
Rh: 0.3333 0.6667 0.0000  9 Rh 2.62-2.88, 3 Re 2.88
Rh: 0.0000 0.5000 0.5000  8 Rh 2.49-2.62
Re: 0.0000 0.0000 0.0000  6 Rh 2.88

* SG: P6/mmm

***

Computed, not measured: crystalline ReRh2 at its relaxed geometry at the GGA-PBE level of DFT.

abc: 4.3550 4.3550 5.3625
angles: 90.00 90.00 120.00
With the nearest neighbours (Å) after each atom.
Positions (direct):
Re: 0.3333 0.6667 0.3871  5 Rh 2.61-2.72, 3 Re 2.79
Rh: 0.0000 0.0000 0.2569  5 Rh 2.61-2.76, 3 Re 2.61
Rh: 0.6667 0.3333 0.1049  5 Re 2.64-2.93, 6 Rh 2.64-2.75
Rh: 0.3333 0.6667 0.8951  5 Re 2.64-2.93, 6 Rh 2.64-2.75
Re: 0.6667 0.3333 0.6129  5 Rh 2.61-2.72, 3 Re 2.79
Rh: 0.0000 0.0000 0.7431  5 Rh 2.61-2.76, 3 Re 2.61

* SG: P-3m1

***

no.,calculated density (Mg/m³),DOS at the Fermi energy (states/eV/f.u.),energy relative to the elements (eV per atom)
1,15.38,9.30,-0.06
2,15.46,10.65,-0.06
3,12.32,8.94,0.69
4,14.78,3.51,0.26